DFT (PBE) results for crystalline K4Ir3PtS8 at its relaxed geometry.

a = 7.464 Å, b = 8.009 Å, c = 7.566 Å
α = 117.74°, β = 119.56°, γ = 90.00°
Element x y z (fractional)
K (0.500, 0.000, 0.000)
K (0.500, 0.000, 0.500)
K (0.000, 0.000, 0.000)
K (0.000, 0.000, 0.500)
Ir (0.500, 0.500, 0.000)
Ir (0.500, 0.500, 0.500)
Ir (0.000, 0.500, 0.500)
Pt (0.000, 0.500, 0.000)
S (0.216, 0.659, 0.933)
S (0.238, 0.678, 0.476)
S (0.280, 0.336, 0.561)
S (0.717, 0.659, 0.933)
S (0.283, 0.341, 0.067)
S (0.720, 0.664, 0.439)
S (0.762, 0.322, 0.524)
S (0.784, 0.341, 0.067)

Computed properties:
The calculation puts the energy relative to the elements, uncorrected at -0.6608 eV per atom. The value obtained for the total magnetization is 0.0000 μB per atom.

DFT (PBE) results for crystalline PmEr3N4 at its relaxed geometry.

a = 6.020 Å, b = 6.021 Å, c = 6.960 Å
α = 90.00°, β = 90.00°, γ = 109.47°
Element x y z (fractional)
N (0.005, 0.252, 0.621)
N (0.498, 0.259, 0.868)
N (0.505, 0.252, 0.379)
N (0.998, 0.259, 0.132)
N (0.002, 0.741, 0.868)
N (0.495, 0.748, 0.621)
N (0.502, 0.741, 0.132)
N (0.995, 0.748, 0.379)
Er (0.750, 0.000, 0.377)
Er (0.250, 0.000, 0.623)
Er (0.750, 0.500, 0.624)
Er (0.750, 0.500, 0.128)
Er (0.250, 0.500, 0.376)
Er (0.250, 0.500, 0.872)
Pm (0.750, 0.000, 0.873)
Pm (0.250, 0.000, 0.127)

Computed properties:
The calculation puts the energy relative to the elements, uncorrected at -1.6752 eV per atom. The value obtained for the total magnetization is 0.0000 μB per atom. For the energy above the most stable polymorph in this dataset, the calculation gives 0 meV per atom.

DFT (PBE) results for crystalline PtW2Se at its relaxed geometry.

a = 4.974 Å, b = 4.974 Å, c = 2.898 Å
α = 90.00°, β = 90.00°, γ = 114.57°
Element x y z (fractional)
Pt (0.500, 0.000, 0.500)
Se (0.000, 0.500, 0.500)
W (0.000, 0.000, 0.000)
W (0.500, 0.500, 0.000)

Computed properties:
The calculation puts the energy relative to the elements, uncorrected at 0.5274 eV per atom. The value obtained for the total magnetization is 0.0000 μB per atom.

DFT (PBE) results for crystalline YCuSn2 at its relaxed geometry.

a = 4.849 Å, b = 4.849 Å, c = 9.749 Å
α = 75.60°, β = 75.60°, γ = 90.00°
Element x y z (fractional)
Y (0.000, 0.000, 0.000)
Y (0.750, 0.250, 0.500)
Sn (0.549, 0.125, 0.250)
Sn (0.201, 0.625, 0.250)
Sn (0.375, 0.451, 0.750)
Sn (0.875, 0.799, 0.750)
Cu (0.500, 0.500, 0.000)
Cu (0.250, 0.750, 0.500)

Computed properties:
The value obtained for the total magnetization is 0.0000 μB per atom. Its formation energy from the elements is -11 kJ/mol of atoms.

DFT (PBE) results for crystalline CaRe2Te at its relaxed geometry.

a = 3.154 Å, b = 3.154 Å, c = 8.372 Å
α = 90.00°, β = 90.00°, γ = 90.00°
Element x y z (fractional)
Re (0.000, 0.000, 0.045)
Re (0.500, 0.500, 0.205)
Ca (0.500, 0.500, 0.782)
Te (0.000, 0.000, 0.468)

Computed properties:
The calculation puts the energy relative to the elements, uncorrected at 0.2722 eV per atom. The value obtained for the total magnetization is 0.0001 μB per atom.

DFT (PBE) results for crystalline PmErLuIn at its relaxed geometry.

a = 5.447 Å, b = 5.447 Å, c = 5.447 Å
α = 60.00°, β = 60.00°, γ = 60.00°
Element x y z (fractional)
In (0.250, 0.250, 0.250)
Lu (0.750, 0.750, 0.750)
Pm (0.000, 0.000, 0.000)
Er (0.500, 0.500, 0.500)

Computed properties:
The value obtained for the total magnetization is 0.0467 μB per atom. Its formation energy from the elements is -14 kJ/mol of atoms.

DFT (PBE) results for crystalline Pu3Ga6Pd5 at its relaxed geometry.

a = 4.358 Å, b = 9.333 Å, c = 12.848 Å
α = 90.00°, β = 90.00°, γ = 90.00°
Element x y z (fractional)
Pu (0.000, 0.251, 0.700)
Pu (0.500, 0.749, 0.200)
Pu (0.500, 0.749, 0.800)
Pu (0.000, 0.256, 0.000)
Pu (0.500, 0.744, 0.500)
Pu (0.000, 0.251, 0.300)
Ga (0.000, 0.977, 0.849)
Ga (0.500, 0.023, 0.651)
Ga (0.500, 0.407, 0.823)
Ga (0.500, 0.581, 0.000)
Ga (0.000, 0.419, 0.500)
Ga (0.000, 0.593, 0.677)
Ga (0.000, 0.593, 0.323)
Ga (0.500, 0.952, 0.000)
Ga (0.000, 0.977, 0.151)
Ga (0.500, 0.407, 0.177)
Ga (0.000, 0.048, 0.500)
Ga (0.500, 0.023, 0.349)
Pd (0.000, 0.534, 0.883)
Pd (0.000, 0.871, 0.655)
Pd (0.000, 0.789, 0.000)
Pd (0.500, 0.466, 0.617)
Pd (0.500, 0.211, 0.500)
Pd (0.000, 0.534, 0.117)
Pd (0.500, 0.466, 0.383)
Pd (0.000, 0.871, 0.345)
Pd (0.500, 0.129, 0.845)
Pd (0.500, 0.129, 0.155)

Computed properties:
The value obtained for the total magnetization is 1.1630 μB per atom. Its formation energy from the elements is -57 kJ/mol of atoms.

DFT (PBE) results for crystalline PrNdOs at its relaxed geometry.

a = 3.520 Å, b = 6.977 Å, c = 7.445 Å
α = 103.51°, β = 103.59°, γ = 90.10°
Element x y z (fractional)
Pr (0.315, 0.490, 0.397)
Pr (0.563, 0.614, 0.891)
Nd (0.561, 0.113, 0.889)
Nd (0.317, 0.991, 0.400)
Os (0.939, 0.300, 0.645)
Os (0.939, 0.803, 0.644)

Computed properties:
The value obtained for the total magnetization is 0.0000 μB per atom. For the energy above the most stable polymorph in this dataset, the calculation gives 34 meV per atom. Its formation energy from the elements is 0 kJ/mol of atoms.